A plane-wave DFT calculation with SCAN was carried out for a crystal of CdCuW relaxed with PBEsol.

Unit cell a=2.780 b=2.780 c=6.949 alpha=90.00 beta=90.00 gamma=120.00
Atoms (fractional coordinates):
Cd1 0.000 0.000 0.987
Cu1 0.333 0.667 0.659
W1 0.667 0.333 0.354

Calculated values
Energy above the lowest structure with this stoichiometry   0.000 eV/atom
Space group   P3m1 (156)
Spin magnetization   0.00 μB/f.u.